A plane-wave DFT calculation with PBE was carried out for a relaxed LiCl crystal.

Structure (POSCAR):
```
LiCl
1.0
-5.7102 -1.2232 -3.2160
-1.8325 -4.2404 4.8666
-4.5084 7.7518 5.0567
Li Cl
12 12
Direct
0.5830 0.7500 0.9365
0.4170 0.2500 0.0635
0.0830 0.7500 0.0635
0.9170 0.2500 0.9365
0.1682 0.7500 0.7498
0.8318 0.2500 0.2502
0.6682 0.7500 0.2502
0.3318 0.2500 0.7498
0.2500 0.0000 0.4173
0.7500 0.5000 0.5827
0.7500 0.0000 0.5827
0.2500 0.5000 0.4173
0.8209 0.7500 0.7622
0.1791 0.2500 0.2378
0.3209 0.7500 0.2378
0.6791 0.2500 0.7622
0.3857 0.7500 0.5748
0.6143 0.2500 0.4252
0.8857 0.7500 0.4252
0.1143 0.2500 0.5748
0.2500 0.0000 0.9154
0.7500 0.5000 0.0846
0.7500 0.0000 0.0846
0.2500 0.5000 0.9154
```

Properties
The calculation puts the uncorrected formation energy at -1.74 eV/atom. The value obtained for the size of the total moment is 0.000 μB/atom.